Entry one
DFT (GGA-PBE) results for a geometry-optimized AlTlIr2 structure.

It has space group R-3m (No. 166, hexagonal axes), with a = 2.9603 Å, b = 2.9603 Å, c = 26.4492 Å, α = 90.00°, β = 90.00° and γ = 120.00°. The distinct sites, in fractional coordinates, are Al at (0.0000, 0.0000, 0.0000), Tl at (0.0000, 0.0000, 0.5000) and Ir at (0.0000, 0.0000, 0.2617).

Its density is 15.3 g/cm3.

=====

Entry two
DFT (GGA-PBE) results for a geometry-optimized AlTlIr2 structure.

It has space group Pmm2 (No. 25), with a = 3.015 Å, b = 4.768 Å, c = 4.641 Å, α = 90.00°, β = 90.00° and γ = 90.00°. The distinct sites, in fractional coordinates, are Al at (0.000, 0.000, 0.000), Tl at (0.500, 0.500, 0.771), Ir at (0.000, 0.500, 0.269) and Ir at (0.500, 0.000, 0.453).

Its density is 15.3 g/cm3.

=====

Q: What are the energies relative to the best structure? A: entry one 0; entry two 181, in meV/atom.